Cs2Er2BiO6, relaxed, DFT PBE-GGA; SG = C2/m; VASP energy = -69.26 eV per cell; ΔE_f (raw) = -2255 meV/atom
1.0
3.0209 -5.2298 0.0000
3.0209 5.2298 0.0000
-1.9961 0.0000 7.0503
Cs Er Bi O
2 2 1 6
Cartesian
3.0209 3.4865 0.0000 Cs
3.0209 -3.4865 0.0000 Cs
2.0228 1.7329 3.5251 Er
2.0228 -1.7329 3.5251 Er
-0.9981 0.0000 3.5251 Bi
0.0087 1.7798 4.6449 O
1.0101 0.0000 2.4053 O
0.0087 -1.7798 4.6449 O
4.0369 1.7798 2.4054 O
3.0355 0.0000 4.6449 O
4.0369 -1.7798 2.4054 O